[1]
DFT (PBE) results for an optimized crystal structure of Ti2SiRu.

The uncorrected formation energy comes out at -589.4 meV/atom.

The structure belongs to space group P4/mmm (No. 123); the cell edges are 3.887, 3.887 and 3.843 Å and the angles 90.00°, 90.00° and 90.00°. The inequivalent atoms are Ti at (0.000, 0.500, 0.000), Si at (0.000, 0.000, 0.500) and Ru at (0.500, 0.500, 0.500).

***

[2]
DFT (PBE) results for an optimized crystal structure of GaAu3N.

The value obtained for the energy above the lowest structure with this stoichiometry is 16.51 kcal/mol of atoms. The uncorrected formation energy comes out at 1392.0 meV/atom.

The structure belongs to space group Pm-3m (No. 221); the cell edges are 4.944, 4.944 and 4.944 Å and the angles 90.00°, 90.00° and 90.00°. The inequivalent atoms are Ga at (0.000, 0.000, 0.000), Au at (0.000, 0.000, 0.500) and N at (0.500, 0.500, 0.500).

***

[3]
DFT (PBE) results for an optimized crystal structure of LaDyZnCo.

The calculation puts the electronic total energy at -4.628 eV per atom.

The structure belongs to space group F-43m (No. 216); the cell edges are 7.083, 7.083 and 7.083 Å and the angles 90.00°, 90.00° and 90.00°. The inequivalent atoms are La at (0.000, 0.000, 0.000), Dy at (0.000, 0.000, 0.500), Zn at (0.250, 0.250, 0.250) and Co at (0.250, 0.250, 0.750).

***

[4]
DFT (PBE) results for an optimized crystal structure of ZrMo2H.

The value obtained for the energy above the lowest structure with this stoichiometry is 23.43 kcal/mol of atoms.

The structure belongs to space group Fm-3m (No. 225); the cell edges are 6.274, 6.274 and 6.274 Å and the angles 90.00°, 90.00° and 90.00°. The inequivalent atoms are Zr at (0.000, 0.000, 0.000), Mo at (0.250, 0.250, 0.250) and H at (0.000, 0.000, 0.500).

***

[5]
DFT (PBE) results for an optimized crystal structure of Rb2Ga2Si.

The uncorrected formation energy comes out at 166.4 meV/atom.

The structure belongs to space group P4/mbm (No. 127); the cell edges are 6.922, 6.922 and 6.029 Å and the angles 90.00°, 90.00° and 90.00°. The inequivalent atoms are Rb at (0.188, 0.312, 0.000), Ga at (0.132, 0.632, 0.500) and Si at (0.000, 0.000, 0.500).

***

[6]
DFT (PBE) results for an optimized crystal structure of Sm2TmScSe6.

The uncorrected formation energy comes out at -1790.1 meV/atom.

The structure belongs to space group R3 (No. 146, hexagonal axes); the cell edges are 7.1779, 7.1779 and 19.1179 Å and the angles 90.00°, 90.00° and 120.00°. The inequivalent atoms are Sm at (0.0000, 0.0000, 0.0000), Sm at (0.0000, 0.0000, 0.4986), Tm at (0.0000, 0.0000, 0.1987), Sc at (0.0000, 0.0000, 0.6970), Se at (0.0427, 0.3426, 0.7710) and Se at (0.0476, 0.6910, 0.2731).

***

[7]
DFT (PBE) results for an optimized crystal structure of KCdCl2.

The value obtained for the energy above the lowest structure with this stoichiometry is 0.00 kcal/mol of atoms. The uncorrected formation energy comes out at -1183.1 meV/atom.

The structure belongs to space group P2/m (No. 10); the cell edges are 4.382, 4.386 and 6.101 Å and the angles 90.00°, 90.13° and 90.00°. The inequivalent atoms are K at (0.000, 0.000, 0.000), Cd at (0.500, 0.500, 0.500), Cl at (0.000, 0.000, 0.500) and Cl at (0.500, 0.500, 0.000).

***

[8]
DFT (PBE) results for an optimized crystal structure of AcZn5Ni2.

The calculation puts the electronic total energy at -3.021 eV per atom.

The structure belongs to space group Immm (No. 71); the cell edges are 4.018, 7.305 and 9.503 Å and the angles 90.00°, 90.00° and 90.00°. The inequivalent atoms are Ac at (0.000, 0.000, 0.000), Zn at (0.000, 0.180, 0.340), Zn at (0.000, 0.500, 0.000) and Ni at (0.000, 0.500, 0.254).

***

[9]
DFT (PBE) results for an optimized crystal structure of RbSrCd2Bi2.

The calculation puts the electronic total energy at -2.459 eV per atom.

The structure belongs to space group P-3m1 (No. 164); the cell edges are 5.2491, 5.2491 and 9.3322 Å and the angles 90.00°, 90.00° and 120.00°. The inequivalent atoms are Rb at (0.0000, 0.0000, 0.0000), Sr at (0.0000, 0.0000, 0.5000), Cd at (0.3333, 0.6667, 0.3292) and Bi at (0.3333, 0.6667, 0.7219).

***

[10]
DFT (PBE) results for an optimized crystal structure of Ce2ReC2.

The value obtained for the energy above the lowest structure with this stoichiometry is 4.15 kcal/mol of atoms.

The structure belongs to space group P2_1/c (No. 14); the cell edges are 8.047, 6.185 and 6.609 Å and the angles 90.00°, 100.14° and 90.00°. The inequivalent atoms are Ce at (0.062, 0.222, 0.041), Ce at (0.308, 0.586, 0.873), Re at (0.381, 0.074, 0.842), C at (0.157, 0.573, 0.214) and C at (0.422, 0.200, 0.128).

***

[11]
DFT (PBE) results for an optimized crystal structure of ThMg2Hg.

The value obtained for the energy above the lowest structure with this stoichiometry is 1.38 kcal/mol of atoms.

The structure belongs to space group P4/mmm (No. 123); the cell edges are 4.589, 4.589 and 4.919 Å and the angles 90.00°, 90.00° and 90.00°. The inequivalent atoms are Th at (0.000, 0.000, 0.000), Mg at (0.000, 0.500, 0.500) and Hg at (0.500, 0.500, 0.000).

***

[12]
DFT (PBE) results for an optimized crystal structure of Cs2Na7Sr.

The calculation puts the electronic total energy at -1.170 eV per atom.

The structure belongs to space group Cmmm (No. 65); the cell edges are 9.262, 26.636 and 4.303 Å and the angles 90.00°, 90.00° and 90.00°. The inequivalent atoms are Cs at (0.000, 0.248, 0.000), Na at (0.000, 0.391, 0.500), Na at (0.000, 0.500, 0.000), Na at (0.196, 0.105, 0.000) and Sr at (0.000, 0.000, 0.500).